# 1
Here is a PBEsol-optimized structure of KCdSbTe2 from the Alexandria database. Energies are from meta-GGA SCAN.

## Properties
DFT total energy: -30.10 eV/atom
Fermi-level density of states: 3.68 states/eV/cell
Total magnetic moment: 0.00 μB/f.u.
Raw formation energy: 1.4 meV per atom

Structure (CIF):
```
data_KCdSbTe2
_symmetry_space_group_name_H-M 'P 4/m m m'
_symmetry_Int_Tables_number 123
_symmetry_space_group_name_Hall '-P 4 2'
_cell_length_a 5.723
_cell_length_b 5.723
_cell_length_c 5.413
_cell_angle_alpha 90.00
_cell_angle_beta 90.00
_cell_angle_gamma 90.00
loop_
_atom_site_label
_atom_site_fract_x
_atom_site_fract_y
_atom_site_fract_z
K1 0.000 0.000 0.000
Cd1 0.500 0.500 0.500
Sb1 0.500 0.500 0.000
Te1 0.000 0.500 0.500
```

***

# 2
Here is a PBEsol-optimized structure of OsPtC3 from the Alexandria database. Energies are from meta-GGA SCAN.

## Properties
DFT total energy: -32.25 eV/atom
Fermi-level density of states: 2.07 states/eV/cell
Formation enthalpy at 0 K: 11.1 eV per formula unit
E above lowest polymorph: 0.0000 eV/atom
Total magnetic moment: 0.00 μB/f.u.

Structure (CIF):
```
data_OsPtC3
_symmetry_space_group_name_H-M 'P m -3 m'
_symmetry_Int_Tables_number 221
_symmetry_space_group_name_Hall '-P 4 2 3'
_cell_length_a 3.947
_cell_length_b 3.947
_cell_length_c 3.947
_cell_angle_alpha 90.00
_cell_angle_beta 90.00
_cell_angle_gamma 90.00
loop_
_atom_site_label
_atom_site_fract_x
_atom_site_fract_y
_atom_site_fract_z
Os1 0.000 0.000 0.000
Pt1 0.500 0.500 0.500
C1 0.000 0.000 0.500
```

***

# 3
Here is a PBEsol-optimized structure of KCuP from the Alexandria database. Energies are from meta-GGA SCAN.

## Properties
DFT total energy: -11.62 eV/atom
Fermi-level density of states: 4.34 states/eV/cell
Formation enthalpy at 0 K: -0.9 eV per formula unit
Total magnetic moment: 0.00 μB/f.u.

Structure (CIF):
```
data_KCuP
_symmetry_space_group_name_H-M 'P 63/m m c'
_symmetry_Int_Tables_number 194
_symmetry_space_group_name_Hall '-P 6c 2c'
_cell_length_a 3.8556
_cell_length_b 3.8556
_cell_length_c 10.2871
_cell_angle_alpha 90.00
_cell_angle_beta 90.00
_cell_angle_gamma 120.00
loop_
_atom_site_label
_atom_site_fract_x
_atom_site_fract_y
_atom_site_fract_z
K1 0.0000 0.0000 0.0000
Cu1 0.3333 0.6667 0.2500
P1 0.3333 0.6667 0.7500
```

***

# 4
Here is a PBEsol-optimized structure of Cd8Cu from the Alexandria database. Energies are from meta-GGA SCAN.

## Properties
DFT total energy: -28.65 eV/atom
Fermi-level density of states: 6.19 states/eV/cell
Formation enthalpy at 0 K: 0.6 eV per formula unit
Total magnetic moment: 0.00 μB/f.u.

Structure (CIF):
```
data_Cd8Cu
_symmetry_space_group_name_H-M 'I 4/m m m'
_symmetry_Int_Tables_number 139
_symmetry_space_group_name_Hall '-I 4 2'
_cell_length_a 9.099
_cell_length_b 9.099
_cell_length_c 4.264
_cell_angle_alpha 90.00
_cell_angle_beta 90.00
_cell_angle_gamma 90.00
loop_
_atom_site_label
_atom_site_fract_x
_atom_site_fract_y
_atom_site_fract_z
Cd1 0.000 0.326 0.000
Cd2 0.160 0.160 0.500
Cu1 0.000 0.000 0.000
```

***

# 5
Here is a PBEsol-optimized structure of Ba2Cu from the Alexandria database. Energies are from meta-GGA SCAN.

## Properties
DFT total energy: -31.35 eV/atom
Fermi-level density of states: 12.13 states/eV/cell
Formation enthalpy at 0 K: 0.2 eV per formula unit
Total magnetic moment: 0.00 μB/f.u.

Structure (CIF):
```
data_Ba2Cu
_symmetry_space_group_name_H-M 'C m c 21'
_symmetry_Int_Tables_number 36
_cell_length_a 4.164
_cell_length_b 14.594
_cell_length_c 7.747
_cell_angle_alpha 90.00
_cell_angle_beta 90.00
_cell_angle_gamma 90.00
loop_
_symmetry_equiv_pos_as_xyz
'x,y,z'
'-x,-y,z+1/2'
'-x,y,z'
'x,-y,z+1/2'
'x+1/2,y+1/2,z'
'-x+1/2,-y+1/2,z+1/2'
'-x+1/2,y+1/2,z'
'x+1/2,-y+1/2,z+1/2'
loop_
_atom_site_label
_atom_site_fract_x
_atom_site_fract_y
_atom_site_fract_z
Ba1 0.000 0.016 0.000
Ba2 0.000 0.274 0.834
Cu1 0.000 0.387 0.221
```

***

# 6
Here is a PBEsol-optimized structure of ZrOs2Rh from the Alexandria database. Energies are from meta-GGA SCAN.

## Properties
DFT total energy: -52.21 eV/atom
Fermi-level density of states: 3.05 states/eV/cell
Formation enthalpy at 0 K: -0.6 eV per formula unit
E above lowest polymorph: 0.1658 eV/atom
Total magnetic moment: 0.00 μB/f.u.

Structure (CIF):
```
data_ZrOs2Rh
_symmetry_space_group_name_H-M 'P 4 m m'
_symmetry_Int_Tables_number 99
_cell_length_a 2.806
_cell_length_b 2.806
_cell_length_c 7.805
_cell_angle_alpha 90.00
_cell_angle_beta 90.00
_cell_angle_gamma 90.00
loop_
_symmetry_equiv_pos_as_xyz
'x,y,z'
'-y,x,z'
'-x,-y,z'
'y,-x,z'
'-x,y,z'
'y,x,z'
'x,-y,z'
'-y,-x,z'
loop_
_atom_site_label
_atom_site_fract_x
_atom_site_fract_y
_atom_site_fract_z
Zr1 0.000 0.000 0.000
Os1 0.000 0.000 0.498
Os2 0.500 0.500 0.281
Rh1 0.500 0.500 0.736
```

***

Q: What is the total magnetic moment in the second record?
A: 0.00 μB/f.u.